[1]
# Sc2ZnPt

A relaxed Sc2ZnPt crystal (PBE-GGA, Alexandria).

a = 3.321 Å, b = 4.680 Å, c = 4.682 Å
α = 90.00°, β = 90.00°, γ = 90.00°
Atoms (fractional coordinates):
Sc1 0.000 0.000 0.000
Sc2 0.000 0.500 0.498
Zn1 0.500 0.500 0.997
Pt1 0.500 0.000 0.501

**SG**: Pmm2, No. 25
**ΔH_f (0 K)**: -0.841 eV/atom
**Magnetic moment**: 0.00 μB per formula unit
**Calculated density**: 8.00 g cm⁻³
**E**: -23.341 eV/f.u.
**DOS(E_F)**: 0.5671 states/eV per atom

=====

[2]
# Th4NiRhS2

A relaxed Th4NiRhS2 crystal (PBE-GGA, Alexandria).

a = 6.977 Å, b = 4.045 Å, c = 7.369 Å
α = 90.00°, β = 108.20°, γ = 90.00°
Atoms (fractional coordinates):
Th1 0.245 0.000 0.236
Th2 0.250 0.500 0.762
Th3 0.750 0.500 0.238
Th4 0.755 0.000 0.764
Ni1 0.000 0.500 0.000
Rh1 0.500 0.000 0.000
S1 0.000 0.000 0.500
S2 0.500 0.500 0.500

**SG**: P2/m, No. 10
**Raw formation energy**: -1149 meV/atom
**Magnetic moment**: 0.00 μB per formula unit
**Calculated density**: 9.70 g cm⁻³
**E**: -60.256 eV/f.u.
**DOS(E_F)**: 0.9573 states/eV per atom

=====

[3]
# ReOsRh

A relaxed ReOsRh crystal (PBE-GGA, Alexandria).

a = 4.335 Å, b = 4.335 Å, c = 2.761 Å
α = 90.00°, β = 90.00°, γ = 120.00°
Atoms (fractional coordinates):
Re1 0.000 0.000 0.000
Os1 0.333 0.667 0.000
Rh1 0.667 0.333 0.500

**SG**: P-6m2, No. 187
**ΔH_f (0 K)**: 0.220 eV/atom
**Magnetic moment**: 0.00 μB per formula unit
**Calculated density**: 17.71 g cm⁻³
**E**: -30.370 eV/f.u.
**Distance to the lowest polymorph of the same formula**: 230.2 meV/atom
**DOS(E_F)**: 0.9293 states/eV per atom

=====

[4]
# GaCuAg2

A relaxed GaCuAg2 crystal (PBE-GGA, Alexandria).

a = 2.842 Å, b = 2.842 Å, c = 29.736 Å
α = 90.00°, β = 90.00°, γ = 120.00°
Atoms (fractional coordinates):
Ga1 0.000 0.000 0.000
Ga2 0.333 0.667 0.667
Ga3 0.667 0.333 0.333
Cu1 0.000 0.000 0.500
Cu2 0.333 0.667 0.167
Cu3 0.667 0.333 0.833
Ag1 0.000 0.000 0.414
Ag2 0.000 0.000 0.586
Ag3 0.333 0.667 0.081
Ag4 0.333 0.667 0.253
Ag5 0.667 0.333 0.747
Ag6 0.667 0.333 0.919

**SG**: R-3m, No. 166
**ΔH_f (0 K)**: 0.229 eV/atom
**Magnetic moment**: 0.00 μB per formula unit
**Calculated density**: 8.36 g cm⁻³
**E**: -11.909 eV/f.u.
**DOS(E_F)**: 0.2741 states/eV per atom

=====

[5]
# RbZrBi2

A relaxed RbZrBi2 crystal (PBE-GGA, Alexandria).

a = 7.894 Å, b = 7.894 Å, c = 7.894 Å
α = 90.00°, β = 90.00°, γ = 90.00°
Atoms (fractional coordinates):
Rb1 0.000 0.000 0.000
Rb2 0.000 0.500 0.500
Rb3 0.500 0.000 0.500
Rb4 0.500 0.500 0.000
Zr1 0.000 0.000 0.500
Zr2 0.000 0.500 0.000
Zr3 0.500 0.000 0.000
Zr4 0.500 0.500 0.500
Bi1 0.250 0.250 0.250
Bi2 0.250 0.250 0.750
Bi3 0.250 0.750 0.250
Bi4 0.250 0.750 0.750
Bi5 0.750 0.250 0.250
Bi6 0.750 0.250 0.750
Bi7 0.750 0.750 0.250
Bi8 0.750 0.750 0.750

**SG**: Fm-3m, No. 225
**ΔH_f (0 K)**: 0.142 eV/atom
**Magnetic moment**: 0.00 μB per formula unit
**Calculated density**: 8.03 g cm⁻³
**E**: -16.712 eV/f.u.
**Distance to the lowest polymorph of the same formula**: 416.5 meV/atom
**DOS(E_F)**: 0.6810 states/eV per atom

=====

[6]
# Cr2CuP

A relaxed Cr2CuP crystal (PBE-GGA, Alexandria).

a = 2.993 Å, b = 4.112 Å, c = 8.005 Å
α = 90.00°, β = 90.00°, γ = 90.00°
Atoms (fractional coordinates):
Cr1 0.000 0.000 0.000
Cr2 0.000 0.500 0.236
Cr3 0.500 0.000 0.236
Cr4 0.500 0.500 0.000
Cu1 0.000 0.500 0.742
Cu2 0.500 0.000 0.742
P1 0.000 0.000 0.464
P2 0.500 0.500 0.464

**SG**: Cmm2, No. 35
**ΔH_f (0 K)**: 0.233 eV/atom
**Magnetic moment**: 0.00 μB per formula unit
**Calculated density**: 6.69 g cm⁻³
**E**: -27.820 eV/f.u.
**DOS(E_F)**: 0.9674 states/eV per atom

=====

[7]
# La2GePIr6

A relaxed La2GePIr6 crystal (PBE-GGA, Alexandria).

a = 5.467 Å, b = 8.765 Å, c = 8.084 Å
α = 90.00°, β = 90.00°, γ = 90.00°
Atoms (fractional coordinates):
La1 0.250 0.014 0.210
La2 0.250 0.486 0.210
La3 0.750 0.514 0.790
La4 0.750 0.986 0.790
Ge1 0.250 0.750 0.759
Ge2 0.750 0.250 0.241
P1 0.250 0.250 0.749
P2 0.750 0.750 0.251
Ir1 0.008 0.750 0.023
Ir2 0.008 0.750 0.480
Ir3 0.250 0.502 0.590
Ir4 0.250 0.998 0.590
Ir5 0.492 0.750 0.023
Ir6 0.492 0.750 0.480
Ir7 0.508 0.250 0.520
Ir8 0.508 0.250 0.977
Ir9 0.750 0.002 0.410
Ir10 0.750 0.498 0.410
Ir11 0.992 0.250 0.520
Ir12 0.992 0.250 0.977

**SG**: Pmmn, No. 59
**ΔH_f (0 K)**: -0.546 eV/atom
**Magnetic moment**: 0.00 μB per formula unit
**Calculated density**: 13.16 g cm⁻³
**E**: -78.503 eV/f.u.
**DOS(E_F)**: 0.5664 states/eV per atom

=====

[8]
# TaMn2Be

A relaxed TaMn2Be crystal (PBE-GGA, Alexandria).

a = 2.946 Å, b = 2.946 Å, c = 20.083 Å
α = 90.00°, β = 90.00°, γ = 120.00°
Atoms (fractional coordinates):
Ta1 0.000 0.000 0.000
Ta2 0.333 0.667 0.667
Ta3 0.667 0.333 0.333
Mn1 0.000 0.000 0.237
Mn2 0.000 0.000 0.763
Mn3 0.333 0.667 0.430
Mn4 0.333 0.667 0.903
Mn5 0.667 0.333 0.097
Mn6 0.667 0.333 0.570
Be1 0.000 0.000 0.500
Be2 0.333 0.667 0.167
Be3 0.667 0.333 0.833

**SG**: R-3m, No. 166
**ΔH_f (0 K)**: 0.344 eV/atom
**Magnetic moment**: 1.19 μB per formula unit
**Calculated density**: 9.89 g cm⁻³
**E**: -32.540 eV/f.u.
**DOS(E_F)**: 1.0403 states/eV per atom